<P>
Density functional theory data (GGA-PBE) for an optimized crystal structure of TlCoRu2.

As for the crystal system: monoclinic. Its total magnetic moment is 1.6 Bohr magnetons per cell.

Cell and atoms, written as POSCAR:
```
TlCoRu2
1.0
4.472 -1.435 0.000
4.472 1.435 0.000
-1.042 0.000 4.803
Tl Co Ru
1 1 2
direct
0.000 0.000 0.000
0.500 0.500 0.500
0.233 0.233 0.707
0.767 0.767 0.293
```


<Q>
Density functional theory data (GGA-PBE) for an optimized crystal structure of TlCoRu2.

As for the crystal system: cubic. Its total magnetic moment is 3.7 Bohr magnetons per cell.

Cell and atoms, written as POSCAR:
```
TlCoRu2
1.0
0.000 3.144 3.144
3.144 0.000 3.144
3.144 3.144 0.000
Tl Co Ru
1 1 2
direct
0.000 0.000 0.000
0.250 0.250 0.250
0.500 0.500 0.500
0.750 0.750 0.750
```


<P> comes first in stability; the runner-up is 108 meV per atom higher.


<P>
Density functional theory data (GGA-PBE) for an optimized crystal structure of Tm2CoRu.

As for the crystal system: trigonal. Its total magnetic moment is 0.6 Bohr magnetons per cell.

Cell and atoms, written as POSCAR:
```
Tm2CoRu
1.0
1.680 0.970 7.963
-1.680 0.970 7.963
0.000 -1.940 7.963
Tm Co Ru
2 1 1
direct
0.249 0.249 0.249
0.751 0.751 0.751
0.500 0.500 0.500
0.000 0.000 0.000
```


<Q>
Density functional theory data (GGA-PBE) for an optimized crystal structure of Tm2CoRu.

As for the crystal system: cubic. Its total magnetic moment is 0.0 Bohr magnetons per cell.

Cell and atoms, written as POSCAR:
```
Tm2CoRu
1.0
0.000 3.322 3.322
3.322 0.000 3.322
3.322 3.322 0.000
Tm Co Ru
2 1 1
direct
0.250 0.250 0.250
0.750 0.750 0.750
0.000 0.000 0.000
0.500 0.500 0.500
```


<R>
Density functional theory data (GGA-PBE) for an optimized crystal structure of Tm2CoRu.

As for the crystal system: tetragonal. Its total magnetic moment is 0.0 Bohr magnetons per cell.

Cell and atoms, written as POSCAR:
```
Tm2CoRu
1.0
3.331 0.000 0.000
0.000 3.331 0.000
0.000 0.000 6.601
Tm Co Ru
2 1 1
direct
0.000 0.000 0.249
0.000 0.000 0.751
0.500 0.500 0.000
0.500 0.500 0.500
```


<Q> comes first in stability; the runner-up is 6 meV per atom higher.